Record 1
The following is a DFT calculation (PBE) of an optimized crystal structure of HfCdGa2.

```
HfCdGa2
1.0
6.815 0.000 0.000
0.000 6.815 0.000
0.000 0.000 6.815
Hf Cd Ga
4 4 8
direct
0.000 0.000 0.000
0.000 0.500 0.500
0.500 0.000 0.500
0.500 0.500 0.000
0.250 0.250 0.250
0.250 0.750 0.750
0.750 0.250 0.750
0.750 0.750 0.250
0.000 0.000 0.500
0.000 0.500 0.000
0.250 0.250 0.750
0.250 0.750 0.250
0.500 0.000 0.000
0.500 0.500 0.500
0.750 0.250 0.250
0.750 0.750 0.750
```

Energy   -4.066 eV per atom
Symmetry   F-43m (216)
Magnetic moment   0.00 μB/f.u.

***

Record 2
The following is a DFT calculation (PBE) of an optimized crystal structure of HfCdGa.

```
HfCdGa
1.0
6.559 0.000 0.000
0.000 6.559 0.000
0.000 0.000 6.559
Hf Cd Ga
4 4 4
direct
0.000 0.000 0.000
0.000 0.500 0.500
0.500 0.000 0.500
0.500 0.500 0.000
0.250 0.250 0.750
0.250 0.750 0.250
0.750 0.250 0.250
0.750 0.750 0.750
0.250 0.250 0.250
0.250 0.750 0.750
0.750 0.250 0.750
0.750 0.750 0.250
```

Energy   -4.319 eV per atom
Symmetry   F-43m (216)
Magnetic moment   0.01 μB/f.u.

***

Record 3
The following is a DFT calculation (PBE) of an optimized crystal structure of HfCdGaNi.

```
HfCdGaNi
1.0
6.461 0.000 0.000
0.000 6.461 0.000
0.000 0.000 6.461
Hf Cd Ga Ni
4 4 4 4
direct
0.000 0.000 0.000
0.000 0.500 0.500
0.500 0.000 0.500
0.500 0.500 0.000
0.250 0.250 0.750
0.250 0.750 0.250
0.750 0.250 0.250
0.750 0.750 0.750
0.250 0.250 0.250
0.250 0.750 0.750
0.750 0.250 0.750
0.750 0.750 0.250
0.000 0.000 0.500
0.000 0.500 0.000
0.500 0.000 0.000
0.500 0.500 0.500
```

Energy   -4.896 eV per atom
Symmetry   F-43m (216)
Magnetic moment   0.05 μB/f.u.

***

Record 4
The following is a DFT calculation (PBE) of an optimized crystal structure of Cd2GaHg.

```
Cd2GaHg
1.0
7.155 0.000 0.000
0.000 7.155 0.000
0.000 0.000 7.155
Cd Ga Hg
8 4 4
direct
0.000 0.000 0.000
0.000 0.500 0.500
0.250 0.250 0.250
0.250 0.750 0.750
0.500 0.000 0.500
0.500 0.500 0.000
0.750 0.250 0.750
0.750 0.750 0.250
0.000 0.000 0.500
0.000 0.500 0.000
0.500 0.000 0.000
0.500 0.500 0.500
0.250 0.250 0.750
0.250 0.750 0.250
0.750 0.250 0.250
0.750 0.750 0.750
```

Energy   -1.210 eV per atom
Symmetry   F-43m (216)